# 1
VASP calculation (PBE) on a relaxed TmAg2 crystal.

Calculated values
ρ ... 10.2 g cm⁻³
Formation energy ... -328 meV/atom
SG ... I4/mmm

abc: 5.295 5.295 5.295
angles: 139.17 139.17 59.12
Sites, in units of the cell vectors:
Tm 0.000 0.000 0.000
Ag 0.331 0.331 0.000
Ag 0.669 0.669 0.000

***

# 2
VASP calculation (PBE) on a relaxed Tm3Ag2 crystal.

Calculated values
Energy relative to the lowest polymorph listed for this composition ... 0.1438 eV per atom
ρ ... 9.1 g cm⁻³
Formation energy ... -115 meV/atom
SG ... C2/m

abc: 4.996 4.996 6.114
angles: 90.18 90.18 60.02
Sites, in units of the cell vectors:
Tm 0.000 0.000 0.000
Tm 0.333 0.333 0.341
Tm 0.667 0.667 0.659
Ag 0.333 0.333 0.835
Ag 0.667 0.667 0.165

***

# 3
VASP calculation (PBE) on a relaxed Tm5Ag3 crystal.

Calculated values
ρ ... 9.7 g cm⁻³
Formation energy ... -226 meV/atom
SG ... P4/mmm

abc: 3.548 3.548 15.968
angles: 90.00 90.00 90.00
Sites, in units of the cell vectors:
Tm 0.000 0.000 0.000
Tm 0.000 0.000 0.228
Tm 0.000 0.000 0.772
Tm 0.500 0.500 0.385
Tm 0.500 0.500 0.615
Ag 0.000 0.000 0.500
Ag 0.500 0.500 0.113
Ag 0.500 0.500 0.887

***

# 4
VASP calculation (PBE) on a relaxed TmAg3 crystal.

Calculated values
ρ ... 9.9 g cm⁻³
Formation energy ... -102 meV/atom
SG ... P4/mmm

abc: 4.460 4.460 4.167
angles: 90.00 90.00 90.00
Sites, in units of the cell vectors:
Tm 0.000 0.000 0.000
Ag 0.000 0.500 0.500
Ag 0.500 0.000 0.500
Ag 0.500 0.500 0.000

***

Total energy readings, ordered: -11.2 -19.7 -32.7 -13.4 eV per cell